1.
# La2DyHgTe5 PBE optimized geometry
data_La2DyHgTe5
_space_group_name_H-M_alt 'C m c 21'
_space_group_IT_number 36
_space_group_name_Hall 'C 2c -2'
_cell_length_a 4.4514
_cell_length_b 19.1432
_cell_length_c 13.6149
_cell_angle_alpha 90.00
_cell_angle_beta 90.00
_cell_angle_gamma 90.00
loop_
_atom_site_label
_atom_site_type_symbol
_atom_site_fract_x
_atom_site_fract_y
_atom_site_fract_z
_atom_site_occupancy
La1 La 0.0000 0.1205 0.0000 1
La2 La 0.0000 0.1260 0.6213 1
Dy1 Dy 0.0000 0.1915 0.3200 1
Hg1 Hg 0.0000 0.4363 0.7816 1
Te1 Te 0.0000 0.0398 0.4075 1
Te2 Te 0.0000 0.2924 0.9786 1
Te3 Te 0.0000 0.2995 0.6544 1
Te4 Te 0.0000 0.3542 0.3146 1
Te5 Te 0.0000 0.4972 0.5935 1
# * total magnetization: 0.0 Bohr magnetons per cell
# * VASP energy: -4.594 eV per atom
# * density of states at the Fermi level: 0.399 states/eV per atom
# * formation energy (no corrections): -1.209 eV per atom

---

2.
# LaDy2ThHg4 PBE optimized geometry
data_LaDy2ThHg4
_space_group_name_H-M_alt 'R -3 m'
_space_group_IT_number 166
_space_group_name_Hall '-R 3 2"'
_cell_length_a 5.3731
_cell_length_b 5.3731
_cell_length_c 26.4094
_cell_angle_alpha 90.00
_cell_angle_beta 90.00
_cell_angle_gamma 120.00
loop_
_atom_site_label
_atom_site_type_symbol
_atom_site_fract_x
_atom_site_fract_y
_atom_site_fract_z
_atom_site_occupancy
La1 La 0.0000 0.0000 0.0000 1
Dy1 Dy 0.0000 0.0000 0.2484 1
Th1 Th 0.0000 0.0000 0.5000 1
Hg1 Hg 0.0000 0.0000 0.1252 1
Hg2 Hg 0.0000 0.0000 0.3758 1
# * formation energy: -394.5 meV per atom
# * total magnetization: 5.2 Bohr magnetons per cell
# * VASP energy: -3.239 eV per atom
# * density of states at the Fermi level: 1.109 states/eV per atom

---

3.
# LaDy2Tl2Hg2 PBE optimized geometry
data_LaDy2Tl2Hg2
_space_group_name_H-M_alt 'R -3 m'
_space_group_IT_number 166
_space_group_name_Hall '-R 3 2"'
_cell_length_a 5.0350
_cell_length_b 5.0350
_cell_length_c 27.0818
_cell_angle_alpha 90.00
_cell_angle_beta 90.00
_cell_angle_gamma 120.00
loop_
_atom_site_label
_atom_site_type_symbol
_atom_site_fract_x
_atom_site_fract_y
_atom_site_fract_z
_atom_site_occupancy
La1 La 0.0000 0.0000 0.0000 1
Dy1 Dy 0.0000 0.0000 0.1339 1
Tl1 Tl 0.0000 0.0000 0.2681 1
Hg1 Hg 0.0000 0.0000 0.4379 1
# * formation energy: -257.9 meV per atom
# * total magnetization: 0.0 Bohr magnetons per cell
# * VASP energy: -3.039 eV per atom
# * density of states at the Fermi level: 0.592 states/eV per atom